Material: Ho6AgS4
Method: DFT, PBE
State: optimized geometry

The total magnetization comes out at 0.00 μB/f.u. Its density of states at the Fermi level is 5.9 states/eV/f.u. The value obtained for the uncorrected formation energy is -1.51 eV/atom. The calculated total energy is -126.96 eV/cell. The value obtained for the volume is 501 Å³ per cell. As for the space group: No. 63.

a b c (Å): 6.711 6.711 20.060
angles (deg): 90.00 90.00 146.30
Atoms (fractional coordinates):
1 Ho 0.000 0.000 0.000
2 Ho 0.000 0.000 0.500
3 Ho 0.164 0.836 0.750
4 Ho 0.273 0.727 0.085
5 Ho 0.273 0.727 0.415
6 Ho 0.454 0.546 0.661
7 Ho 0.454 0.546 0.839
8 Ho 0.546 0.454 0.161
9 Ho 0.546 0.454 0.339
10 Ho 0.727 0.273 0.585
11 Ho 0.727 0.273 0.915
12 Ho 0.836 0.164 0.250
13 Ag 0.160 0.840 0.250
14 Ag 0.840 0.160 0.750
15 S 0.091 0.909 0.622
16 S 0.091 0.909 0.878
17 S 0.362 0.638 0.539
18 S 0.362 0.638 0.961
19 S 0.638 0.362 0.039
20 S 0.638 0.362 0.461
21 S 0.909 0.091 0.122
22 S 0.909 0.091 0.378